1.
The following is a PBE-GGA calculation of La4Dy2Pb3O2 after structural relaxation, from Alexandria.

The density is 8.13 g/cm³. Its total moment is 0.00 μB/atom.

It has space group I4/mmm (No. 139), with a = 4.889 Å, b = 4.889 Å, c = 26.208 Å, α = 90.00°, β = 90.00° and γ = 90.00°. The distinct sites, in fractional coordinates, are La at (0.000, 0.500, 0.086), Dy at (0.000, 0.000, 0.196), Pb at (0.000, 0.000, 0.318), Pb at (0.000, 0.000, 0.500) and O at (0.000, 0.000, 0.109).

2.
The following is a PBE-GGA calculation of La2PmDyO after structural relaxation, from Alexandria.

The density is 7.42 g/cm³. Its total moment is 0.00 μB/atom.

It has space group P4/mmm (No. 123), with a = 5.338 Å, b = 5.338 Å, c = 4.721 Å, α = 90.00°, β = 90.00° and γ = 90.00°. The distinct sites, in fractional coordinates, are La at (0.000, 0.500, 0.000), Pm at (0.000, 0.000, 0.500), Dy at (0.500, 0.500, 0.500) and O at (0.500, 0.500, 0.000).

The uncorrected formation energy results, record by record, are as follows: -1.365, -1.136 eV per atom.
The calculated total energy results, record by record, are as follows: -129.9, -29.8 eV for the cell shown.